## Li2ZnNi2 (GGA-PBE)

Data for a relaxed Li2ZnNi2 crystal.

Cell lengths 8.8491, 4.3495, 6.7423 Å; angles 90.00, 111.24, 90.00 degrees
Closest atoms and distances in Å follow each position.
Space group C2/c (No. 15)
Symmetry-distinct sites (fractional):
1 Li 0.1996 0.1738 0.1510 x8  6 Ni 2.52-2.68, 3 Li 2.54-2.59, 3 Zn 2.57-2.64
2 Zn 0.0000 0.1886 0.7500 x4  6 Ni 2.50-2.55, 6 Li 2.57-2.64
3 Ni 0.0944 0.3165 0.4446 x8  3 Zn 2.50-2.55, 6 Li 2.52-2.68, 3 Ni 2.55-2.64

Results
DOS(E_F) = 13.60 states/eV per cell
E_form = -7 kJ per mole of atoms
E_tot = -3.41 eV/atom